# 1
The following is a DFT calculation (PBE-GGA) of a relaxed structure of Sr5CeIn6. Values from VASP.

Results
The calculation puts the formation energy at -404.2 meV/atom. As for the density of states at the Fermi level: 13.2 states/eV per cell. Its crystal system is monoclinic.

Quantum ESPRESSO input file:
```
&SYSTEM
  ibrav = 0, nat = 12, ntyp = 3
/
ATOMIC_SPECIES
Sr 87.62 Sr.upf
Ce 140.12 Ce.upf
In 114.82 In.upf
CELL_PARAMETERS angstrom
5.6589 -0.3587 0.9159
-0.0217 7.4103 3.0385
1.3328 0.3039 9.8239
ATOMIC_POSITIONS angstrom
Sr 4.6943 1.2641 7.5067
Sr 2.3329 2.4838 4.5151
Sr -0.0108 3.7051 1.5193
Sr 4.6372 4.8717 9.2632
Sr 2.2757 6.0913 6.2716
Ce 0.0000 0.0000 0.0000
In 5.1562 4.2896 5.7676
In 5.1674 0.3326 4.1457
In 4.1454 5.8749 12.6395
In 2.8246 1.4806 1.1388
In 1.8026 7.0229 9.6326
In 1.8138 3.0659 8.0107
```

***

# 2
The following is a DFT calculation (PBE-GGA) of a relaxed structure of MgBeVPd2. Values from VASP.

Results
The calculation puts the formation energy at 1093.1 meV/atom. As for the density of states at the Fermi level: 9.6 states/eV per cell. Its crystal system is tetragonal.

Quantum ESPRESSO input file:
```
&SYSTEM
  ibrav = 0, nat = 5, ntyp = 4
/
ATOMIC_SPECIES
Be 9.01 Be.upf
Mg 24.30 Mg.upf
Pd 106.42 Pd.upf
V 50.94 V.upf
CELL_PARAMETERS angstrom
4.4870 0.0000 0.0000
0.0000 4.2817 0.0000
0.0000 0.0000 4.4870
ATOMIC_POSITIONS angstrom
Be 0.0000 2.1408 0.0000
Mg 0.0000 0.0000 0.0000
Pd 0.0000 0.0000 2.2435
Pd 2.2435 0.0000 0.0000
V 2.2435 2.1408 2.2435
```

***

# 3
The following is a DFT calculation (PBE-GGA) of a relaxed structure of Rb3NaSe2O8. Values from VASP.

Results
The value obtained for the formation energy (no corrections) is -19.415 eV/f.u. As for the density of states at the Fermi level: 0.0 states/eV per cell. Its crystal system is trigonal.

Quantum ESPRESSO input file:
```
&SYSTEM
  ibrav = 0, nat = 14, ntyp = 4
/
ATOMIC_SPECIES
Rb 85.47 Rb.upf
Na 22.99 Na.upf
Se 78.96 Se.upf
O 16.00 O.upf
CELL_PARAMETERS angstrom
-4.7121 1.4973 -3.6183
3.9905 -4.2925 -1.7858
-4.4504 -5.5867 3.4840
ATOMIC_POSITIONS angstrom
Rb -1.9240 -6.1456 -0.0375
Rb -3.2481 -2.2363 -1.8827
Rb 0.0000 0.0000 0.0000
Na -2.2252 -2.7934 1.7420
Se 0.0406 -3.6795 -1.5754
Se -5.2126 -4.7024 -0.3448
O 0.9703 -2.5123 -2.3032
O -6.1424 -5.8696 0.3831
O 1.0050 -4.9544 -1.0447
O -6.1770 -3.4276 -0.8754
O -0.7753 -3.0394 -0.2481
O -4.3968 -5.3425 -1.6721
O -1.0972 -4.2864 -2.6590
O -4.0748 -4.0955 0.7388
```

***

# 4
The following is a DFT calculation (PBE-GGA) of a relaxed structure of Pa4SiOs. Values from VASP.

Results
The value obtained for the formation energy (no corrections) is -1.834 eV/f.u. As for the density of states at the Fermi level: 20.4 states/eV per cell. Its crystal system is monoclinic.

Quantum ESPRESSO input file:
```
&SYSTEM
  ibrav = 0, nat = 12, ntyp = 3
/
ATOMIC_SPECIES
Pa 231.04 Pa.upf
Si 28.09 Si.upf
Os 190.23 Os.upf
CELL_PARAMETERS angstrom
-2.6614 5.3886 4.8861
-3.9662 -4.3011 -0.0835
6.2285 -3.3218 2.2501
ATOMIC_POSITIONS angstrom
Pa -3.2207 3.1316 4.8047
Pa -4.0813 0.0246 3.4883
Pa 0.3420 -3.1593 3.4502
Pa -0.7411 0.9250 3.6025
Pa 1.2628 0.0038 1.7966
Pa 3.6822 -2.2590 3.5643
Pa -1.6618 -2.2381 5.2560
Pa 2.8216 -5.3659 2.2480
Si -1.8599 -1.5550 2.4381
Si 1.4608 -0.6794 4.6145
Os 0.1527 -4.8992 1.0832
Os -0.5517 2.6648 5.9694
```